A relaxed structure of CsNbSi2Se8. Source: Alexandria via LeMat-Bulk, functional PBE.

a b c (Å): 6.5315 6.5315 9.3204
angles (deg): 90.00 90.00 120.00
Closest atoms and distances in Å follow each position.
Fractional positions:
Cs (0.0000, 0.0000, 0.0000)  12 Se 3.79-3.96
Nb (0.0000, 0.0000, 0.5000)  6 Se 2.60
Si (0.3333, 0.6667, 0.7180)  4 Se 2.25-2.32
Si (0.6667, 0.3333, 0.2820)  4 Se 2.25-2.32
Se (0.0129, 0.6683, 0.3531)  1 Si 2.32, 1 Nb 2.60
Se (0.3317, 0.3446, 0.3531)  1 Si 2.32, 1 Nb 2.60
Se (0.3333, 0.6667, 0.9592)  1 Si 2.25
Se (0.3446, 0.0129, 0.6469)  1 Si 2.32, 1 Nb 2.60
Se (0.6554, 0.9871, 0.3531)  1 Si 2.32, 1 Nb 2.60
Se (0.6667, 0.3333, 0.0408)  1 Si 2.25
Se (0.6683, 0.6554, 0.6469)  1 Si 2.32, 1 Nb 2.60
Se (0.9871, 0.3317, 0.6469)  1 Si 2.32, 1 Nb 2.60

Properties
* raw formation energy: -41.8 kJ per mole of atoms
* Fermi-level density of states: 10.5 states/eV/f.u.
* crystal system: trigonal